No. 1
A plane-wave DFT calculation with PBE was carried out for a geometry-optimized PmGeRhAu structure.

a = 4.8236 Å, b = 4.8236 Å, c = 4.8236 Å
α = 60.00°, β = 60.00°, γ = 60.00°
Fractional coordinates of all 4 atoms:
Pm1 0.0000 0.0000 0.0000
Ge1 0.5000 0.5000 0.5000
Rh1 0.2500 0.2500 0.2500
Au1 0.7500 0.7500 0.7500

Values from the calculation:
* Fermi-level density of states: 2.3 states/eV per cell
* space-group type: F-43m (216)
* calculated formation energy: -0.43 eV per atom
* final energy: -21.7 eV per cell
* crystal system: cubic

No. 2
A plane-wave DFT calculation with PBE was carried out for a geometry-optimized Pm2Ge4RhAu3 structure.

a = 4.3061 Å, b = 4.3061 Å, c = 10.9554 Å
α = 90.00°, β = 90.00°, γ = 90.00°
Fractional coordinates of all 10 atoms:
Pm1 0.0000 0.5000 0.2341
Pm2 0.5000 0.0000 0.7659
Ge1 0.0000 0.0000 0.5000
Ge2 0.0000 0.5000 0.8729
Ge3 0.5000 0.0000 0.1271
Ge4 0.5000 0.5000 0.5000
Rh1 0.5000 0.5000 0.0000
Au1 0.0000 0.0000 0.0000
Au2 0.0000 0.5000 0.6434
Au3 0.5000 0.0000 0.3566

Values from the calculation:
* Fermi-level density of states: 6.1 states/eV per cell
* space-group type: P-4m2 (115)
* calculated formation energy: -0.58 eV per atom
* final energy: -51.0 eV per cell
* crystal system: tetragonal

No. 3
A plane-wave DFT calculation with PBE was carried out for a geometry-optimized PmSmGeAu structure.

a = 4.4145 Å, b = 5.9680 Å, c = 5.9680 Å
α = 40.68°, β = 90.00°, γ = 90.00°
Fractional coordinates of all 4 atoms:
Pm1 0.0000 0.0000 0.0000
Sm1 0.5000 0.2773 0.2773
Ge1 0.0000 0.7262 0.7262
Au1 0.5000 0.5590 0.5590

Values from the calculation:
* Fermi-level density of states: 3.0 states/eV per cell
* space-group type: Amm2 (38)
* calculated formation energy: -0.82 eV per atom
* ΔE to the lowest computed polymorph: 0 meV/atom
* final energy: -20.6 eV per cell
* crystal system: orthorhombic

No. 4
A plane-wave DFT calculation with PBE was carried out for a geometry-optimized PmSmGeAu structure.

a = 5.1969 Å, b = 5.1969 Å, c = 5.1969 Å
α = 60.00°, β = 60.00°, γ = 60.00°
Fractional coordinates of all 4 atoms:
Pm1 0.0000 0.0000 0.0000
Sm1 0.5000 0.5000 0.5000
Ge1 0.2500 0.2500 0.2500
Au1 0.7500 0.7500 0.7500

Values from the calculation:
* Fermi-level density of states: 3.0 states/eV per cell
* space-group type: F-43m (216)
* calculated formation energy: -0.73 eV per atom
* ΔE to the lowest computed polymorph: 84 meV/atom
* final energy: -20.3 eV per cell
* crystal system: cubic

No. 5
A plane-wave DFT calculation with PBE was carried out for a geometry-optimized SrPmGeAu structure.

a = 5.3108 Å, b = 5.3108 Å, c = 5.3108 Å
α = 60.00°, β = 60.00°, γ = 60.00°
Fractional coordinates of all 4 atoms:
Sr1 0.0000 0.0000 0.0000
Pm1 0.5000 0.5000 0.5000
Ge1 0.2500 0.2500 0.2500
Au1 0.7500 0.7500 0.7500

Values from the calculation:
* Fermi-level density of states: 1.5 states/eV per cell
* space-group type: F-43m (216)
* calculated formation energy: -0.68 eV per atom
* final energy: -17.1 eV per cell
* crystal system: cubic

No. 6
A plane-wave DFT calculation with PBE was carried out for a geometry-optimized Sr2PmGe3Au12 structure.

a = 8.1049 Å, b = 8.1049 Å, c = 8.1049 Å
α = 70.01°, β = 70.01°, γ = 70.01°
Fractional coordinates of all 18 atoms:
Sr1 0.0992 0.0992 0.0992
Sr2 0.9008 0.9008 0.9008
Pm1 0.5000 0.5000 0.5000
Ge1 0.0000 0.5000 0.5000
Ge2 0.5000 0.0000 0.5000
Ge3 0.5000 0.5000 0.0000
Au1 0.1194 0.6516 0.6516
Au2 0.1896 0.1896 0.6579
Au3 0.1896 0.6579 0.1896
Au4 0.3421 0.8104 0.8104
Au5 0.3484 0.3484 0.8806
Au6 0.3484 0.8806 0.3484
Au7 0.6516 0.1194 0.6516
Au8 0.6516 0.6516 0.1194
Au9 0.6579 0.1896 0.1896
Au10 0.8104 0.3421 0.8104
Au11 0.8104 0.8104 0.3421
Au12 0.8806 0.3484 0.3484

Values from the calculation:
* Fermi-level density of states: 3.6 states/eV per cell
* space-group type: R-3m (166)
* calculated formation energy: -0.16 eV per atom
* final energy: -64.1 eV per cell
* crystal system: trigonal

No. 7
A plane-wave DFT calculation with PBE was carried out for a geometry-optimized TbPmGeAu structure.

a = 4.3789 Å, b = 5.9343 Å, c = 5.9343 Å
α = 40.49°, β = 90.00°, γ = 90.00°
Fractional coordinates of all 4 atoms:
Tb1 0.0000 0.0000 0.0000
Pm1 0.5000 0.7223 0.7223
Ge1 0.5000 0.4507 0.4507
Au1 0.0000 0.2824 0.2824

Values from the calculation:
* Fermi-level density of states: 2.6 states/eV per cell
* space-group type: Amm2 (38)
* calculated formation energy: -0.83 eV per atom
* ΔE to the lowest computed polymorph: 0 meV/atom
* final energy: -20.6 eV per cell
* crystal system: orthorhombic

No. 8
A plane-wave DFT calculation with PBE was carried out for a geometry-optimized TbPmGeAu structure.

a = 5.1542 Å, b = 5.1542 Å, c = 5.1542 Å
α = 60.00°, β = 60.00°, γ = 60.00°
Fractional coordinates of all 4 atoms:
Tb1 0.0000 0.0000 0.0000
Pm1 0.5000 0.5000 0.5000
Ge1 0.7500 0.7500 0.7500
Au1 0.2500 0.2500 0.2500

Values from the calculation:
* Fermi-level density of states: 3.5 states/eV per cell
* space-group type: F-43m (216)
* calculated formation energy: -0.74 eV per atom
* ΔE to the lowest computed polymorph: 91 meV/atom
* final energy: -20.2 eV per cell
* crystal system: cubic

No. 9
A plane-wave DFT calculation with PBE was carried out for a geometry-optimized PmGeTe3Au structure.

a = 8.4512 Å, b = 4.2201 Å, c = 9.9015 Å
α = 90.00°, β = 99.12°, γ = 90.00°
Fractional coordinates of all 12 atoms:
Pm1 0.1746 0.2500 0.2719
Pm2 0.8254 0.7500 0.7281
Ge1 0.3400 0.7500 0.8546
Ge2 0.6600 0.2500 0.1454
Te1 0.0909 0.2500 0.8659
Te2 0.2846 0.7500 0.5158
Te3 0.4025 0.7500 0.1460
Te4 0.5975 0.2500 0.8540
Te5 0.7154 0.2500 0.4842
Te6 0.9091 0.7500 0.1341
Au1 0.0809 0.2500 0.5839
Au2 0.9191 0.7500 0.4161

Values from the calculation:
* E_form (uncorrected): -0.613 eV/atom
* Fermi-level density of states: 0.5 states/eV per cell
* space-group type: P2_1/m (11)
* final energy: -51.5 eV per cell
* crystal system: monoclinic

No. 10
A plane-wave DFT calculation with PBE was carried out for a geometry-optimized PmThGeAu structure.

a = 4.4019 Å, b = 5.9686 Å, c = 5.9686 Å
α = 41.56°, β = 90.00°, γ = 90.00°
Fractional coordinates of all 4 atoms:
Pm1 0.0000 0.0000 0.0000
Th1 0.5000 0.7209 0.7209
Ge1 0.0000 0.2748 0.2748
Au1 0.5000 0.4410 0.4410

Values from the calculation:
* Fermi-level density of states: 3.7 states/eV per cell
* space-group type: Amm2 (38)
* calculated formation energy: -0.74 eV per atom
* ΔE to the lowest computed polymorph: 0 meV/atom
* final energy: -23.0 eV per cell
* crystal system: orthorhombic

No. 11
A plane-wave DFT calculation with PBE was carried out for a geometry-optimized PmThGeAu structure.

a = 5.2283 Å, b = 5.2283 Å, c = 5.2283 Å
α = 60.00°, β = 60.00°, γ = 60.00°
Fractional coordinates of all 4 atoms:
Pm1 0.0000 0.0000 0.0000
Th1 0.5000 0.5000 0.5000
Ge1 0.7500 0.7500 0.7500
Au1 0.2500 0.2500 0.2500

Values from the calculation:
* Fermi-level density of states: 5.9 states/eV per cell
* space-group type: F-43m (216)
* calculated formation energy: -0.61 eV per atom
* ΔE to the lowest computed polymorph: 126 meV/atom
* final energy: -22.5 eV per cell
* crystal system: cubic

No. 12
A plane-wave DFT calculation with PBE was carried out for a geometry-optimized PmTl2Ge2Au7 structure.

a = 4.3780 Å, b = 4.3780 Å, c = 15.7523 Å
α = 96.45°, β = 96.45°, γ = 90.08°
Fractional coordinates of all 12 atoms:
Pm1 0.0000 0.0000 0.0000
Tl1 0.1998 0.1998 0.4152
Tl2 0.8002 0.8002 0.5848
Ge1 0.4045 0.4045 0.7681
Ge2 0.5955 0.5955 0.2319
Au1 0.0585 0.5581 0.1410
Au2 0.3093 0.3093 0.6056
Au3 0.4419 0.9415 0.8590
Au4 0.5000 0.5000 0.0000
Au5 0.5581 0.0585 0.1410
Au6 0.6907 0.6907 0.3944
Au7 0.9415 0.4419 0.8590

Values from the calculation:
* Fermi-level density of states: 4.0 states/eV per cell
* space-group type: C2/m (12)
* calculated formation energy: -0.16 eV per atom
* final energy: -43.6 eV per cell
* crystal system: monoclinic